Here is crystalline CeNdTeI at its relaxed geometry from Alexandria. Energies are from PBE.

The structure in CIF format:
```
data_CeNdTeI
_chemical_formula_sum 'Ce4 Nd4 Te4 I4'
_symmetry_space_group_name_H-M 'F -4 3 m'
_symmetry_Int_Tables_number 216
_symmetry_space_group_name_Hall 'F -4 2 3'
_cell_length_a 7.7560
_cell_length_b 7.7560
_cell_length_c 7.7560
_cell_angle_alpha 90.00
_cell_angle_beta 90.00
_cell_angle_gamma 90.00
loop_
_atom_site_label
_atom_site_type_symbol
_atom_site_fract_x
_atom_site_fract_y
_atom_site_fract_z
_atom_site_occupancy
Ce1 Ce 0.0000 0.0000 0.0000 1
Nd1 Nd 0.0000 0.0000 0.5000 1
Te1 Te 0.2500 0.2500 0.7500 1
I1 I 0.2500 0.2500 0.2500 1
```

Calculated values
Formation energy without anion corrections (eV per atom): -1.047